Record 1
# Ti3AlNi

A relaxed Ti3AlNi crystal (PBE-GGA, Alexandria).

Output
* V: 19.2 Å³ per atom
* formation enthalpy at 0 K: 319 meV/atom
* E_tot: -126.457 eV per cell
* relative energy among the computed polymorphs: 0.620 eV/f.u.
* total magnetic moment: 0.84 μB per formula unit

a = 4.700 Å, b = 4.700 Å, c = 17.382 Å
α = 90.00°, β = 90.00°, γ = 90.00°
Space group I-4m2 (No. 119)
Unique sites:
1 Ti 0.000 0.000 0.214 [4 per cell]
2 Ti 0.000 0.251 0.378 [8 per cell]
3 Al 0.000 0.500 0.544 [4 per cell]
4 Ni 0.000 0.000 0.500 [2 per cell]
5 Ni 0.000 0.500 0.250 [2 per cell]

Record 2
# TiAlNi

A relaxed TiAlNi crystal (PBE-GGA, Alexandria).

Output
* V: 14.1 Å³ per atom
* formation enthalpy at 0 K: -488 meV/atom
* E_tot: -151.072 eV per cell
* total magnetic moment: 0.55 μB per formula unit

a = 7.956 Å, b = 5.021 Å, c = 8.454 Å
α = 90.00°, β = 90.00°, γ = 90.00°
Space group Amm2 (No. 38)
Unique sites:
1 Ti 0.173 0.000 0.000 [4 per cell]
2 Ti 0.293 0.000 0.330 [4 per cell]
3 Al 0.239 0.000 0.673 [4 per cell]
4 Al 0.500 0.243 0.069 [4 per cell]
5 Ni 0.000 0.000 0.494 [2 per cell]
6 Ni 0.000 0.240 0.250 [4 per cell]
7 Ni 0.500 0.000 0.825 [2 per cell]

Record 3
# TiAlNi3

A relaxed TiAlNi3 crystal (PBE-GGA, Alexandria).

Output
* V: 13.1 Å³ per atom
* formation enthalpy at 0 K: -428 meV/atom
* E_tot: -62.245 eV per cell
* relative energy among the computed polymorphs: 0.000 eV/f.u.
* total magnetic moment: 0.00 μB per formula unit

a = 4.083 Å, b = 4.971 Å, c = 6.432 Å
α = 90.00°, β = 90.00°, γ = 90.00°
Space group Pmmn (No. 59, origin choice 2)
Unique sites:
1 Ti 0.250 0.250 0.160 [2 per cell]
2 Al 0.250 0.750 0.443 [2 per cell]
3 Ni 0.250 0.016 0.754 [4 per cell]
4 Ni 0.250 0.750 0.079 [2 per cell]